1.
Density functional theory data (PBE-GGA) for a relaxed Pr3CBr3 crystal.

Values from the calculation:
energy above the lowest structure with this stoichiometry: 0.000 eV per atom
symmetry: No. 11
ΔE_f (raw): -1281 meV/atom

Unit cell a=8.677 b=3.950 c=11.714 alpha=90.00 beta=93.17 gamma=90.00
Fractional coordinates of all 14 atoms:
Pr1 0.090 0.250 0.393
Pr2 0.120 0.250 0.835
Pr3 0.315 0.750 0.622
Pr4 0.685 0.250 0.378
Pr5 0.880 0.750 0.165
Pr6 0.910 0.750 0.607
C1 0.124 0.250 0.622
C2 0.876 0.750 0.378
Br1 0.137 0.250 0.124
Br2 0.378 0.750 0.876
Br3 0.379 0.750 0.369
Br4 0.621 0.250 0.631
Br5 0.622 0.250 0.124
Br6 0.863 0.750 0.876

---

2.
Density functional theory data (PBE-GGA) for a relaxed MgZr2Te crystal.

Values from the calculation:
energy above the lowest structure with this stoichiometry: 0.019 eV per atom
symmetry: No. 47
ΔE_f (raw): -278 meV/atom

Unit cell a=3.653 b=3.666 c=6.681 alpha=90.00 beta=90.00 gamma=90.00
Fractional coordinates of all 4 atoms:
Mg1 0.000 0.000 0.000
Zr1 0.500 0.500 0.258
Zr2 0.500 0.500 0.742
Te1 0.000 0.000 0.500

---

3.
Density functional theory data (PBE-GGA) for a relaxed Tb3Pm6Pr2Sm crystal.

Values from the calculation:
energy relative to the elements: 0.01 eV/atom
symmetry: No. 12

Unit cell a=6.305 b=6.305 c=12.053 alpha=95.01 beta=95.01 gamma=120.00
Fractional coordinates of all 12 atoms:
Tb1 0.000 0.000 0.000
Tb2 0.333 0.667 0.000
Tb3 0.667 0.333 0.000
Pm1 0.083 0.416 0.246
Pm2 0.252 0.252 0.754
Pm3 0.416 0.083 0.246
Pm4 0.584 0.917 0.754
Pm5 0.748 0.748 0.246
Pm6 0.917 0.584 0.754
Pr1 0.167 0.833 0.500
Pr2 0.833 0.167 0.500
Sm1 0.500 0.500 0.500

---

4.
Density functional theory data (PBE-GGA) for a relaxed TcSb crystal.

Values from the calculation:
energy above the lowest structure with this stoichiometry: 0.157 eV per atom
symmetry: No. 63
ΔE_f (raw): 217 meV/atom

Unit cell a=5.165 b=5.165 c=4.267 alpha=90.00 beta=90.00 gamma=135.47
Fractional coordinates of all 4 atoms:
Tc1 0.066 0.934 0.750
Tc2 0.934 0.066 0.250
Sb1 0.355 0.645 0.750
Sb2 0.645 0.355 0.250

---

5.
Density functional theory data (PBE-GGA) for a relaxed Pm9Nd11Dy4 crystal.

Values from the calculation:
energy relative to the elements: 0.06 eV/atom
symmetry: No. 65

Unit cell a=15.684 b=15.684 c=3.700 alpha=90.00 beta=90.00 gamma=113.82
Fractional coordinates of all 24 atoms:
Pm1 0.000 0.000 0.000
Pm2 0.128 0.666 0.000
Pm3 0.288 0.437 0.000
Pm4 0.334 0.872 0.000
Pm5 0.437 0.288 0.000
Pm6 0.563 0.712 0.000
Pm7 0.666 0.128 0.000
Pm8 0.712 0.563 0.000
Pm9 0.872 0.334 0.000
Nd1 0.097 0.459 0.500
Nd2 0.130 0.870 0.500
Nd3 0.211 0.211 0.500
Nd4 0.336 0.664 0.500
Nd5 0.459 0.097 0.500
Nd6 0.500 0.500 0.500
Nd7 0.541 0.903 0.500
Nd8 0.664 0.336 0.500
Nd9 0.789 0.789 0.500
Nd10 0.870 0.130 0.500
Nd11 0.903 0.541 0.500
Dy1 0.058 0.260 0.000
Dy2 0.260 0.058 0.000
Dy3 0.740 0.942 0.000
Dy4 0.942 0.740 0.000

---

6.
Density functional theory data (PBE-GGA) for a relaxed LaZrTa2 crystal.

Values from the calculation:
energy relative to the elements: 0.42 eV/atom
energy above the lowest structure with this stoichiometry: 0.216 eV per atom
symmetry: No. 123

Unit cell a=2.978 b=2.978 c=10.122 alpha=90.00 beta=90.00 gamma=90.00
Fractional coordinates of all 4 atoms:
La1 0.000 0.000 0.000
Zr1 0.000 0.000 0.500
Ta1 0.500 0.500 0.270
Ta2 0.500 0.500 0.730

---

7.
Density functional theory data (PBE-GGA) for a relaxed AlHg3S crystal.

Values from the calculation:
energy above the lowest structure with this stoichiometry: 0.000 eV per atom
symmetry: No. 221
ΔE_f (raw): 394 meV/atom

Unit cell a=5.223 b=5.223 c=5.223 alpha=90.00 beta=90.00 gamma=90.00
Fractional coordinates of all 5 atoms:
Al1 0.000 0.000 0.000
Hg1 0.000 0.000 0.500
Hg2 0.000 0.500 0.000
Hg3 0.500 0.000 0.000
S1 0.500 0.500 0.500

---

8.
Density functional theory data (PBE-GGA) for a relaxed TeIrAu2 crystal.

Values from the calculation:
symmetry: No. 160
ΔE_f (raw): 210 meV/atom

Unit cell a=7.014 b=7.014 c=7.014 alpha=31.85 beta=31.85 gamma=31.85
Fractional coordinates of all 4 atoms:
Te1 0.000 0.000 0.000
Ir1 0.266 0.266 0.266
Au1 0.521 0.521 0.521
Au2 0.771 0.771 0.771

---

9.
Density functional theory data (PBE-GGA) for a relaxed Nd2TmCu3 crystal.

Values from the calculation:
energy relative to the elements: -0.19 eV/atom
energy above the lowest structure with this stoichiometry: 0.004 eV per atom
symmetry: No. 65

Unit cell a=7.930 b=7.930 c=7.044 alpha=90.00 beta=90.00 gamma=143.27
Fractional coordinates of all 12 atoms:
Nd1 0.000 0.000 0.000
Nd2 0.000 0.000 0.500
Nd3 0.335 0.665 0.000
Nd4 0.665 0.335 0.000
Tm1 0.332 0.668 0.500
Tm2 0.668 0.332 0.500
Cu1 0.173 0.827 0.271
Cu2 0.173 0.827 0.729
Cu3 0.500 0.500 0.265
Cu4 0.500 0.500 0.735
Cu5 0.827 0.173 0.271
Cu6 0.827 0.173 0.729

---

10.
Density functional theory data (PBE-GGA) for a relaxed Ba2SrIr crystal.

Values from the calculation:
energy relative to the elements: 0.03 eV/atom
energy above the lowest structure with this stoichiometry: 0.205 eV per atom
symmetry: No. 122

Unit cell a=8.363 b=8.363 c=8.363 alpha=97.66 beta=97.66 gamma=137.18
Fractional coordinates of all 8 atoms:
Ba1 0.375 0.237 0.362
Ba2 0.763 0.125 0.138
Ba3 0.875 0.013 0.638
Ba4 0.987 0.625 0.862
Sr1 0.250 0.750 0.500
Sr2 0.500 0.500 0.000
Ir1 0.000 0.000 0.000
Ir2 0.750 0.250 0.500

---

11.
Density functional theory data (PBE-GGA) for a relaxed Rb2CaH2F2 crystal.

Values from the calculation:
symmetry: No. 139
electronic total energy: -3.831 eV/atom

Unit cell a=7.857 b=7.857 c=7.857 alpha=147.11 beta=147.11 gamma=47.21
Fractional coordinates of all 7 atoms:
Rb1 0.150 0.150 0.000
Rb2 0.850 0.850 0.000
Ca1 0.500 0.500 0.000
H1 0.000 0.500 0.500
H2 0.500 0.000 0.500
F1 0.343 0.343 0.000
F2 0.657 0.657 0.000

---

12.
Density functional theory data (PBE-GGA) for a relaxed PW crystal.

Values from the calculation:
energy relative to the elements: 0.54 eV/atom
symmetry: No. 227

Unit cell a=4.377 b=4.377 c=4.377 alpha=60.00 beta=60.00 gamma=60.00
Fractional coordinates of all 4 atoms:
P1 0.125 0.125 0.125
P2 0.875 0.875 0.875
W1 0.375 0.375 0.375
W2 0.625 0.625 0.625

---

13.
Density functional theory data (PBE-GGA) for a relaxed PmFe2GeC crystal.

Values from the calculation:
energy relative to the elements: -0.36 eV/atom
symmetry: No. 63

Unit cell a=5.654 b=5.654 c=6.894 alpha=90.00 beta=90.00 gamma=139.43
Fractional coordinates of all 10 atoms:
Pm1 0.052 0.948 0.750
Pm2 0.948 0.052 0.250
Fe1 0.338 0.662 0.564
Fe2 0.338 0.662 0.936
Fe3 0.662 0.338 0.064
Fe4 0.662 0.338 0.436
Ge1 0.229 0.771 0.250
Ge2 0.771 0.229 0.750
C1 0.500 0.500 0.000
C2 0.500 0.500 0.500

---

14.
Density functional theory data (PBE-GGA) for a relaxed BeGa2Ni2 crystal.

Values from the calculation:
energy relative to the elements: -0.10 eV/atom
energy above the lowest structure with this stoichiometry: 0.126 eV per atom
symmetry: No. 127

Unit cell a=6.611 b=6.611 c=2.874 alpha=90.00 beta=90.00 gamma=90.00
Fractional coordinates of all 10 atoms:
Be1 0.000 0.000 0.000
Be2 0.500 0.500 0.000
Ga1 0.144 0.356 0.000
Ga2 0.356 0.856 0.000
Ga3 0.644 0.144 0.000
Ga4 0.856 0.644 0.000
Ni1 0.156 0.656 0.500
Ni2 0.344 0.156 0.500
Ni3 0.656 0.844 0.500
Ni4 0.844 0.344 0.500

---

15.
Density functional theory data (PBE-GGA) for a relaxed MgFe2Ni crystal.

Values from the calculation:
energy relative to the elements: 0.10 eV/atom
symmetry: No. 123

Unit cell a=3.635 b=3.635 c=3.897 alpha=90.00 beta=90.00 gamma=90.00
Fractional coordinates of all 4 atoms:
Mg1 0.000 0.000 0.000
Fe1 0.000 0.500 0.500
Fe2 0.500 0.000 0.500
Ni1 0.500 0.500 0.000

---

16.
Density functional theory data (PBE-GGA) for a relaxed SnIrI2N crystal.

Values from the calculation:
energy above the lowest structure with this stoichiometry: 0.000 eV per atom
symmetry: No. 123
ΔE_f (raw): 330 meV/atom

Unit cell a=5.791 b=5.791 c=3.738 alpha=90.00 beta=90.00 gamma=90.00
Fractional coordinates of all 5 atoms:
Sn1 0.000 0.000 0.000
Ir1 0.500 0.500 0.500
I1 0.000 0.500 0.500
I2 0.500 0.000 0.500
N1 0.500 0.500 0.000

---

17.
Density functional theory data (PBE-GGA) for a relaxed Na2YAlGe2 crystal.

Values from the calculation:
energy relative to the elements: -0.41 eV/atom
symmetry: No. 26

Unit cell a=4.308 b=8.757 c=7.243 alpha=90.00 beta=90.00 gamma=90.00
Fractional coordinates of all 12 atoms:
Na1 0.000 0.082 0.000
Na2 0.000 0.918 0.500
Na3 0.500 0.160 0.316
Na4 0.500 0.840 0.816
Y1 0.500 0.444 0.963
Y2 0.500 0.556 0.463
Al1 0.000 0.323 0.627
Al2 0.000 0.677 0.127
Ge1 0.000 0.390 0.253
Ge2 0.000 0.610 0.753
Ge3 0.500 0.178 0.719
Ge4 0.500 0.822 0.219

---

18.
Density functional theory data (PBE-GGA) for a relaxed Sr2ScSnP crystal.

Values from the calculation:
energy relative to the elements: 0.10 eV/atom
symmetry: No. 123

Unit cell a=6.061 b=6.061 c=5.378 alpha=90.00 beta=90.00 gamma=90.00
Fractional coordinates of all 5 atoms:
Sr1 0.000 0.500 0.000
Sr2 0.500 0.000 0.000
Sc1 0.000 0.000 0.500
Sn1 0.000 0.000 0.000
P1 0.500 0.500 0.500

---

19.
Density functional theory data (PBE-GGA) for a relaxed Lu2PuOs crystal.

Values from the calculation:
energy relative to the elements: -0.14 eV/atom
energy above the lowest structure with this stoichiometry: 0.000 eV per atom
symmetry: No. 123

Unit cell a=3.332 b=3.332 c=8.738 alpha=90.00 beta=90.00 gamma=90.00
Fractional coordinates of all 4 atoms:
Lu1 0.000 0.000 0.186
Lu2 0.000 0.000 0.814
Pu1 0.500 0.500 0.500
Os1 0.500 0.500 0.000

---

20.
Density functional theory data (PBE-GGA) for a relaxed Nd2Sb4Rh5 crystal.

Values from the calculation:
symmetry: No. 69
ΔE_f (raw): -614 meV/atom

Unit cell a=9.484 b=8.494 c=5.883 alpha=80.31 beta=61.99 gamma=37.70
Fractional coordinates of all 11 atoms:
Nd1 0.129 0.129 0.871
Nd2 0.871 0.871 0.129
Sb1 0.213 0.529 0.471
Sb2 0.471 0.787 0.213
Sb3 0.529 0.213 0.787
Sb4 0.787 0.471 0.529
Rh1 0.000 0.000 0.500
Rh2 0.250 0.250 0.250
Rh3 0.500 0.500 0.000
Rh4 0.500 0.500 0.500
Rh5 0.750 0.750 0.750